Below is crystalline Pr6Nd3Dy2Tl at its relaxed geometry, with properties calculated at the GGA-PBE level.

Lattice parameters (Å, degrees): 6.3358 6.3358 11.9861 95.21 95.21 120.33
With the nearest neighbours (Å) after each atom.
Positions (direct):
Nd  0.8306  0.1694  0.5000  6 Nd 3.62-3.72, 6 Pr 3.66-3.70
Dy  0.3346  0.6654  0.0000  6 Pr 3.57-3.58, 3 Dy 3.64-3.66, 3 Tl 3.64-3.68
Pr  0.9205  0.5940  0.7569  1 Tl 3.53, 2 Dy 3.57-3.58, 6 Pr 3.57-3.70, 3 Nd 3.68-3.70
Pr  0.4060  0.0795  0.2431  1 Tl 3.53, 2 Dy 3.57-3.58, 6 Pr 3.57-3.70, 3 Nd 3.68-3.70
Pr  0.5940  0.9205  0.7569  1 Tl 3.53, 2 Dy 3.57-3.58, 6 Pr 3.57-3.70, 3 Nd 3.68-3.70
Pr  0.0795  0.4060  0.2431  1 Tl 3.53, 2 Dy 3.57-3.58, 6 Pr 3.57-3.70, 3 Nd 3.68-3.70
Dy  0.6654  0.3346  0.0000  6 Pr 3.57-3.58, 3 Dy 3.64-3.66, 3 Tl 3.64-3.68
Nd  0.5000  0.5000  0.5000  6 Nd 3.63-3.66, 6 Pr 3.68-3.69
Nd  0.1694  0.8306  0.5000  6 Nd 3.62-3.72, 6 Pr 3.66-3.70
Pr  0.7540  0.7540  0.2460  6 Pr 3.57-3.70, 1 Tl 3.57, 2 Dy 3.58, 3 Nd 3.66-3.69
Pr  0.2460  0.2460  0.7540  6 Pr 3.57-3.70, 1 Tl 3.57, 2 Dy 3.58, 3 Nd 3.66-3.69
Tl  0.0000  0.0000  0.0000  6 Pr 3.53-3.57, 6 Dy 3.64-3.68

Calculated values
- uncorrected energy (eV per atom) = -4.55
- formation enthalpy at 0 K (eV per atom) = -0.008



Below is crystalline Pr2NdDyTm5 at its relaxed geometry, with properties calculated at the GGA-PBE level.

Lattice parameters (Å, degrees): 8.6875 8.6875 9.8723 116.10 116.10 90.00
With the nearest neighbours (Å) after each atom.
Positions (direct):
Tm  0.6495  0.1495  0.7220  1 Pr 3.01, 1 Dy 3.11
Nd  0.7500  0.7500  0.5000  10 Tm 3.55-3.86
Tm  0.4275  0.3505  0.2780  1 Pr 3.01, 1 Dy 3.11
Pr  0.8827  0.6173  0.0000  1 Pr 2.88, 2 Tm 3.01
Nd  0.2500  0.2500  0.5000  10 Tm 3.55-3.86
Tm  0.5000  0.5000  0.0000  4 Pr 3.48, 8 Tm 3.78, 2 Nd 3.86
Tm  0.8505  0.9275  0.2780  1 Pr 3.01, 1 Dy 3.11
Tm  0.0725  0.5725  0.7220  1 Pr 3.01, 1 Dy 3.11
Tm  0.1495  0.0725  0.7220  1 Pr 3.01, 1 Dy 3.11
Tm  0.0000  0.0000  0.0000  4 Pr 3.48, 8 Tm 3.78, 2 Nd 3.86
Pr  0.3827  0.8827  0.0000  1 Pr 2.88, 2 Tm 3.01
Tm  0.3505  0.8505  0.2780  1 Pr 3.01, 1 Dy 3.11
Pr  0.1173  0.3827  0.0000  1 Pr 2.88, 2 Tm 3.01
Tm  0.5725  0.6495  0.7220  1 Pr 3.01, 1 Dy 3.11
Dy  0.7500  0.2500  0.5000  4 Tm 3.11
Pr  0.6173  0.1173  0.0000  1 Pr 2.88, 2 Tm 3.01
Tm  0.9275  0.4275  0.2780  1 Pr 3.01, 1 Dy 3.11
Dy  0.2500  0.7500  0.5000  4 Tm 3.11

Calculated values
- uncorrected energy (eV per atom) = -4.33
- formation enthalpy at 0 K (eV per atom) = 0.262



Below is crystalline Pr3NdDy2Tm6 at its relaxed geometry, with properties calculated at the GGA-PBE level.

Lattice parameters (Å, degrees): 6.1966 6.1966 11.7247 95.04 95.04 119.98
With the nearest neighbours (Å) after each atom.
Positions (direct):
Nd  0.0000  0.0000  0.0000  6 Tm 3.52, 6 Dy 3.58
Pr  0.1668  0.8332  0.5000  6 Tm 3.58, 6 Pr 3.58
Dy  0.3333  0.6667  0.0000  6 Tm 3.52, 3 Nd 3.58, 3 Dy 3.58
Dy  0.6667  0.3333  0.0000  6 Tm 3.52, 3 Nd 3.58, 3 Dy 3.58
Pr  0.5000  0.5000  0.5000  6 Tm 3.57-3.58, 6 Pr 3.58
Tm  0.5837  0.9174  0.7530  2 Dy 3.52, 1 Nd 3.52, 6 Tm 3.58, 3 Pr 3.58
Tm  0.9174  0.5837  0.7530  2 Dy 3.52, 1 Nd 3.52, 6 Tm 3.58, 3 Pr 3.58
Tm  0.4163  0.0826  0.2470  2 Dy 3.52, 1 Nd 3.52, 6 Tm 3.58, 3 Pr 3.58
Tm  0.2512  0.2512  0.7529  1 Nd 3.52, 2 Dy 3.52, 3 Pr 3.57-3.58, 6 Tm 3.58
Pr  0.8332  0.1668  0.5000  6 Tm 3.58, 6 Pr 3.58
Tm  0.7488  0.7488  0.2471  1 Nd 3.52, 2 Dy 3.52, 3 Pr 3.57-3.58, 6 Tm 3.58
Tm  0.0826  0.4163  0.2470  2 Dy 3.52, 1 Nd 3.52, 6 Tm 3.58, 3 Pr 3.58

Calculated values
- uncorrected energy (eV per atom) = -4.57
- formation enthalpy at 0 K (eV per atom) = 0.021



Below is crystalline Pr2Nd4DyTm at its relaxed geometry, with properties calculated at the GGA-PBE level.

Lattice parameters (Å, degrees): 5.1776 5.1515 11.5148 63.31 90.00 90.00
With the nearest neighbours (Å) after each atom.
Positions (direct):
Nd  0.5000  0.2501  0.7497  4 Pr 3.63-3.65, 2 Dy 3.64-3.65, 2 Tm 3.65, 4 Nd 3.65
Dy  0.5000  0.5000  0.0000  8 Nd 3.64-3.66, 4 Pr 3.65
Pr  0.0000  0.0000  0.0000  8 Nd 3.65, 4 Dy 3.65
Pr  0.5000  0.0000  0.5000  8 Nd 3.63-3.64, 4 Tm 3.65
Nd  0.5000  0.7499  0.2503  4 Pr 3.63-3.65, 2 Dy 3.64-3.65, 2 Tm 3.65, 4 Nd 3.65
Nd  0.0000  0.7516  0.7486  2 Tm 3.63, 4 Pr 3.64-3.65, 4 Nd 3.65, 2 Dy 3.66
Tm  0.0000  0.5000  0.5000  8 Nd 3.63-3.65, 4 Pr 3.65
Nd  0.0000  0.2484  0.2514  2 Tm 3.63, 4 Pr 3.64-3.65, 4 Nd 3.65, 2 Dy 3.66

Calculated values
- uncorrected energy (eV per atom) = -4.70
- formation enthalpy at 0 K (eV per atom) = 0.015



Below is crystalline Pr2NdDy2Tm2 at its relaxed geometry, with properties calculated at the GGA-PBE level.

Lattice parameters (Å, degrees): 3.5043 9.2781 8.5166 118.95 90.00 100.89
With the nearest neighbours (Å) after each atom.
Positions (direct):
Dy  0.4294  0.8588  0.7640  3 Tm 3.48-3.53, 3 Dy 3.50-3.55, 2 Pr 3.53-3.66, 2 Nd 3.55
Pr  0.3523  0.7045  0.0882  4 Pr 3.50-3.70, 3 Tm 3.51-3.66, 2 Dy 3.53-3.66, 2 Nd 3.65
Dy  0.5706  0.1412  0.2360  3 Tm 3.48-3.53, 3 Dy 3.50-3.55, 2 Pr 3.53-3.66, 2 Nd 3.55
Nd  0.0000  0.0000  0.5000  2 Tm 3.47, 2 Nd 3.50, 4 Dy 3.55, 4 Pr 3.65
Tm  0.7882  0.5765  0.3784  1 Nd 3.47, 3 Dy 3.48-3.53, 4 Tm 3.49-3.50, 3 Pr 3.51-3.66
Pr  0.6477  0.2955  0.9118  4 Pr 3.50-3.70, 3 Tm 3.51-3.66, 2 Dy 3.53-3.66, 2 Nd 3.65
Tm  0.2118  0.4235  0.6216  1 Nd 3.47, 3 Dy 3.48-3.53, 4 Tm 3.49-3.50, 3 Pr 3.51-3.66

Calculated values
- uncorrected energy (eV per atom) = -4.49
- formation enthalpy at 0 K (eV per atom) = 0.148



Below is crystalline PrNd2Dy5Tm at its relaxed geometry, with properties calculated at the GGA-PBE level.

Lattice parameters (Å, degrees): 8.7572 8.7572 9.9234 116.18 116.18 90.00
With the nearest neighbours (Å) after each atom.
Positions (direct):
Dy  0.1521  0.0723  0.7243  1 Nd 3.03, 1 Tm 3.13
Pr  0.2500  0.2500  0.5000  10 Dy 3.59-3.88
Dy  0.5723  0.6521  0.7243  1 Nd 3.03, 1 Tm 3.13
Nd  0.3831  0.8831  0.0000  1 Nd 2.89, 2 Dy 3.03
Dy  0.5000  0.5000  0.0000  4 Nd 3.51, 8 Dy 3.79, 2 Pr 3.88
Nd  0.1169  0.3831  0.0000  1 Nd 2.89, 2 Dy 3.03
Dy  0.4277  0.3479  0.2757  1 Nd 3.03, 1 Tm 3.13
Dy  0.3479  0.8479  0.2757  1 Nd 3.03, 1 Tm 3.13
Dy  0.8479  0.9277  0.2757  1 Nd 3.03, 1 Tm 3.13
Dy  0.0000  0.0000  0.0000  4 Nd 3.51, 8 Dy 3.79, 2 Pr 3.88
Nd  0.8831  0.6169  0.0000  1 Nd 2.89, 2 Dy 3.03
Dy  0.0723  0.5723  0.7243  1 Nd 3.03, 1 Tm 3.13
Pr  0.7500  0.7500  0.5000  10 Dy 3.59-3.88
Tm  0.7500  0.2500  0.5000  4 Dy 3.13
Dy  0.9277  0.4277  0.2757  1 Nd 3.03, 1 Tm 3.13
Dy  0.6521  0.1521  0.7243  1 Nd 3.03, 1 Tm 3.13
Nd  0.6169  0.1169  0.0000  1 Nd 2.89, 2 Dy 3.03
Tm  0.2500  0.7500  0.5000  4 Dy 3.13

Calculated values
- uncorrected energy (eV per atom) = -4.38
- formation enthalpy at 0 K (eV per atom) = 0.269



Below is crystalline Pr2Nd2DyTm at its relaxed geometry, with properties calculated at the GGA-PBE level.

Lattice parameters (Å, degrees): 5.7408 7.1104 9.9388 90.00 90.00 90.00
With the nearest neighbours (Å) after each atom.
Positions (direct):
Nd  0.5000  0.7576  0.6674  3 Dy 3.23-3.56, 2 Pr 3.26
Pr  0.0000  0.2575  0.1781  5 Nd 3.26-3.56
Tm  0.0000  0.5077  0.5000  2 Tm 3.56, 2 Pr 3.66, 4 Dy 3.72, 6 Nd 3.76-3.78
Nd  0.5000  0.2576  0.3326  3 Dy 3.23-3.56, 2 Pr 3.26
Pr  0.5000  0.5076  0.0001  6 Pr 3.56-3.81, 6 Nd 3.75, 2 Dy 3.83-3.84
Pr  0.0000  0.7575  0.8219  5 Nd 3.26-3.56
Nd  0.0000  0.7576  0.1644  2 Dy 3.37, 7 Pr 3.40-3.75
Pr  0.5000  0.0076  0.9999  6 Pr 3.56-3.81, 6 Nd 3.75, 2 Dy 3.83-3.84
Dy  0.5000  0.7577  0.3419  5 Nd 3.23-3.56
Dy  0.5000  0.2577  0.6581  5 Nd 3.23-3.56
Nd  0.0000  0.2576  0.8356  2 Dy 3.37, 7 Pr 3.40-3.75
Tm  0.0000  0.0076  0.5000  2 Tm 3.56, 2 Pr 3.66, 4 Dy 3.72, 6 Nd 3.76-3.78

Calculated values
- uncorrected energy (eV per atom) = -4.63
- formation enthalpy at 0 K (eV per atom) = 0.060



Below is crystalline PrNd6DyTm2 at its relaxed geometry, with properties calculated at the GGA-PBE level.

Lattice parameters (Å, degrees): 9.6637 8.9402 8.9402 116.74 93.56 93.56
With the nearest neighbours (Å) after each atom.
Positions (direct):
Dy  0.7500  0.5895  0.4105  6 Nd 3.46-3.57, 2 Tm 3.54
Pr  0.2500  0.9685  0.0315  4 Tm 3.44-3.52, 6 Nd 3.59-3.79
Tm  0.0500  0.2991  0.2028  6 Nd 3.33-3.70, 2 Pr 3.44-3.52, 1 Dy 3.54
Nd  0.6842  0.0068  0.5585  3 Nd 3.29-3.67, 1 Dy 3.47, 1 Tm 3.50, 1 Pr 3.59
Nd  0.6172  0.4838  0.7047  4 Nd 3.28-3.65, 3 Tm 3.33-3.50, 2 Dy 3.46-3.57
Nd  0.3828  0.5162  0.2953  4 Nd 3.28-3.65, 3 Tm 3.33-3.50, 2 Dy 3.46-3.57
Nd  0.0557  0.1125  0.7598  7 Nd 3.48-3.80, 1 Tm 3.54, 2 Pr 3.69-3.79
Tm  0.5500  0.2028  0.2991  6 Nd 3.33-3.70, 2 Pr 3.44-3.52, 1 Dy 3.54
Nd  0.1172  0.7047  0.4838  4 Nd 3.28-3.65, 3 Tm 3.33-3.50, 2 Dy 3.46-3.57
Nd  0.4443  0.2402  0.8875  7 Nd 3.48-3.80, 1 Tm 3.54, 2 Pr 3.69-3.79
Nd  0.5557  0.7598  0.1125  7 Nd 3.48-3.80, 1 Tm 3.54, 2 Pr 3.69-3.79
Nd  0.8828  0.2953  0.5162  4 Nd 3.28-3.65, 3 Tm 3.33-3.50, 2 Dy 3.46-3.57
Pr  0.7500  0.0315  0.9685  4 Tm 3.44-3.52, 6 Nd 3.59-3.79
Nd  0.9443  0.8875  0.2402  7 Nd 3.48-3.80, 1 Tm 3.54, 2 Pr 3.69-3.79
Nd  0.3158  0.9932  0.4415  3 Nd 3.29-3.67, 1 Dy 3.47, 1 Tm 3.50, 1 Pr 3.59
Nd  0.8158  0.4415  0.9932  3 Nd 3.29-3.67, 1 Dy 3.47, 1 Tm 3.50, 1 Pr 3.59
Dy  0.2500  0.4105  0.5895  6 Nd 3.46-3.57, 2 Tm 3.54
Tm  0.4500  0.7972  0.7009  6 Nd 3.33-3.70, 2 Pr 3.44-3.52, 1 Dy 3.54
Nd  0.1842  0.5585  0.0068  3 Nd 3.29-3.67, 1 Dy 3.47, 1 Tm 3.50, 1 Pr 3.59
Tm  0.9500  0.7009  0.7972  6 Nd 3.33-3.70, 2 Pr 3.44-3.52, 1 Dy 3.54

Calculated values
- uncorrected energy (eV per atom) = -4.58
- formation enthalpy at 0 K (eV per atom) = 0.113



What is the formation enthalpy at 0 K in the sixth record? 0.269 eV per atom



What is the formation enthalpy at 0 K in the fifth record? 0.148 eV per atom



What is the formula in the first record? Pr6Nd3Dy2Tl